Model w:
Here is an optimized crystal structure of AgW3Au from Alexandria via LeMat-Bulk. Energies are from PBE.

```
5
Lattice="4.757 0.000 0.000 0.000 4.757 0.000 0.000 0.000 4.757" Properties=species:S:1:pos:R:3 pbc="T T T"
Ag 0.000 0.000 0.000
W 0.000 0.000 2.378
W 0.000 2.378 0.000
W 2.378 0.000 0.000
Au 2.378 2.378 2.378
```

Properties
- Size of the total moment: 0.00 μB/f.u.
- DOS(E_F): 10.85 states/eV per cell
- Symmetry: Pm-3m, No. 221

---

Model x:
Here is an optimized crystal structure of AgW3Au from Alexandria via LeMat-Bulk. Energies are from PBE.

```
5
Lattice="4.844 0.000 0.000 0.000 4.844 0.000 0.000 0.000 4.844" Properties=species:S:1:pos:R:3 pbc="T T T"
Ag 0.000 0.000 0.000
W 0.000 2.422 2.422
W 2.422 0.000 2.422
W 2.422 2.422 0.000
Au 2.422 2.422 2.422
```

Properties
- Size of the total moment: 0.00 μB/f.u.
- DOS(E_F): 5.77 states/eV per cell
- Symmetry: Pm-3m, No. 221

---

Verdict on stability: model w comes out at the bottom.

---

Model w:
Here is an optimized crystal structure of Ag3WAu from Alexandria via LeMat-Bulk. Energies are from PBE.

```
5
Lattice="5.071 0.000 0.000 0.000 5.071 0.000 0.000 0.000 5.071" Properties=species:S:1:pos:R:3 pbc="T T T"
Ag 0.000 0.000 2.536
Ag 0.000 2.536 0.000
Ag 2.536 0.000 0.000
W 2.536 2.536 2.536
Au 0.000 0.000 0.000
```

Properties
- Size of the total moment: 4.40 μB/f.u.
- DOS(E_F): 2.60 states/eV per cell
- Symmetry: Pm-3m, No. 221

---

Model x:
Here is an optimized crystal structure of Ag3WAu from Alexandria via LeMat-Bulk. Energies are from PBE.

```
5
Lattice="5.070 0.000 0.000 0.000 5.070 0.000 0.000 0.000 5.070" Properties=species:S:1:pos:R:3 pbc="T T T"
Ag 0.000 0.000 2.535
Ag 0.000 2.535 0.000
Ag 2.535 0.000 0.000
W 0.000 0.000 0.000
Au 2.535 2.535 2.535
```

Properties
- Size of the total moment: 0.00 μB/f.u.
- DOS(E_F): 3.24 states/eV per cell
- Symmetry: Pm-3m, No. 221

---

Verdict on stability: model x comes out at the bottom.

---

Model w:
Here is an optimized crystal structure of Y2AgAu2 from Alexandria via LeMat-Bulk. Energies are from PBE.

```
10
Lattice="8.162 0.000 0.000 0.000 8.162 0.000 0.000 0.000 3.668" Properties=species:S:1:pos:R:3 pbc="T T T"
Y 1.324 2.756 0.000
Y 2.756 6.837 0.000
Y 5.405 1.324 0.000
Y 6.837 5.405 0.000
Ag 0.000 0.000 0.000
Ag 4.081 4.081 0.000
Au 1.078 5.159 1.834
Au 3.002 1.078 1.834
Au 5.159 7.083 1.834
Au 7.083 3.002 1.834
```

Properties
- Size of the total moment: 0.00 μB/f.u.
- DOS(E_F): 10.24 states/eV per cell
- Symmetry: P4/mbm, No. 127

---

Model x:
Here is an optimized crystal structure of Y2AgAu2 from Alexandria via LeMat-Bulk. Energies are from PBE.

```
10
Lattice="7.837 0.000 0.000 0.000 7.837 0.000 0.000 0.000 3.809" Properties=species:S:1:pos:R:3 pbc="T T T"
Y 1.322 2.596 0.000
Y 2.596 6.515 0.000
Y 5.241 1.322 0.000
Y 6.515 5.241 0.000
Ag 0.000 0.000 1.904
Ag 3.919 3.919 1.904
Au 1.029 4.948 1.904
Au 2.890 1.029 1.904
Au 4.948 6.808 1.904
Au 6.808 2.890 1.904
```

Properties
- Size of the total moment: 0.00 μB/f.u.
- DOS(E_F): 6.91 states/eV per cell
- Symmetry: P4/mbm, No. 127

---

Model y:
Here is an optimized crystal structure of Y2AgAu2 from Alexandria via LeMat-Bulk. Energies are from PBE.

```
5
Lattice="-2.797 2.797 4.098 2.797 -2.797 4.098 2.797 2.797 -4.098" Properties=species:S:1:pos:R:3 pbc="T T T"
Y 2.797 0.000 2.049
Y 0.000 2.797 2.049
Ag 0.000 0.000 0.000
Au 0.000 0.000 2.812
Au 0.000 0.000 5.385
```

Properties
- Size of the total moment: 0.00 μB/f.u.
- DOS(E_F): 5.07 states/eV per cell
- Symmetry: I4/mmm, No. 139

---

Verdict on stability: model y comes out at the bottom.

---

Model w:
Here is an optimized crystal structure of Y2Ag2Au from Alexandria via LeMat-Bulk. Energies are from PBE.

```
10
Lattice="7.709 0.000 0.000 0.000 7.709 0.000 0.000 0.000 3.904" Properties=species:S:1:pos:R:3 pbc="T T T"
Y 1.361 2.494 0.000
Y 2.494 6.348 0.000
Y 5.216 1.361 0.000
Y 6.348 5.216 0.000
Ag 0.974 4.829 1.952
Ag 2.881 0.974 1.952
Ag 4.829 6.735 1.952
Ag 6.735 2.881 1.952
Au 0.000 0.000 1.952
Au 3.855 3.855 1.952
```

Properties
- Size of the total moment: 0.00 μB/f.u.
- DOS(E_F): 9.17 states/eV per cell
- Symmetry: P4/mbm, No. 127

---

Model x:
Here is an optimized crystal structure of Y2Ag2Au from Alexandria via LeMat-Bulk. Energies are from PBE.

```
10
Lattice="5.175 0.000 0.000 0.009 5.189 0.000 2.577 0.024 8.362" Properties=species:S:1:pos:R:3 pbc="T T T"
Y 1.291 1.306 1.757
Y 3.870 1.313 6.605
Y 3.892 3.900 1.757
Y 6.470 3.907 6.605
Ag 1.306 3.905 3.483
Ag 3.889 3.903 4.879
Ag 3.872 1.310 3.483
Ag 6.455 1.308 4.879
Au 1.312 3.893 0.001
Au 6.449 1.319 8.361
```

Properties
- Size of the total moment: 0.00 μB/f.u.
- DOS(E_F): 6.28 states/eV per cell
- Symmetry: P-1, No. 2

---

Model y:
Here is an optimized crystal structure of Y2Ag2Au from Alexandria via LeMat-Bulk. Energies are from PBE.

```
10
Lattice="7.932 0.000 0.000 0.000 7.932 0.000 0.000 0.000 4.020" Properties=species:S:1:pos:R:3 pbc="T T T"
Y 1.317 2.649 0.000
Y 2.649 6.615 0.000
Y 5.283 1.317 0.000
Y 6.615 5.283 0.000
Ag 1.022 4.988 2.010
Ag 2.944 1.022 2.010
Ag 4.988 6.910 2.010
Ag 6.910 2.944 2.010
Au 0.000 0.000 0.000
Au 3.966 3.966 0.000
```

Properties
- Size of the total moment: 0.00 μB/f.u.
- DOS(E_F): 6.09 states/eV per cell
- Symmetry: P4/mbm, No. 127

---

Verdict on stability: model y comes out at the bottom.

---

Model w:
Here is an optimized crystal structure of Y2Ag2Au from Alexandria via LeMat-Bulk. Energies are from PBE.

```
5
Lattice="-2.813 2.813 4.000 2.813 -2.813 4.000 2.813 2.813 -4.000" Properties=species:S:1:pos:R:3 pbc="T T T"
Y 2.813 0.000 2.000
Y 0.000 2.813 2.000
Ag 0.000 0.000 1.253
Ag 0.000 0.000 6.746
Au 0.000 0.000 4.000
```

Properties
- Size of the total moment: 0.00 μB/f.u.
- DOS(E_F): 4.60 states/eV per cell
- Symmetry: I4/mmm, No. 139

---

Model x:
Here is an optimized crystal structure of Y2Ag2Au from Alexandria via LeMat-Bulk. Energies are from PBE.

```
5
Lattice="-1.890 1.890 8.510 1.890 -1.890 8.510 1.890 1.890 -8.510" Properties=species:S:1:pos:R:3 pbc="T T T"
Y 0.000 0.000 1.699
Y 0.000 0.000 15.322
Ag 1.890 0.000 4.255
Ag 0.000 1.890 4.255
Au 0.000 0.000 8.510
```

Properties
- Size of the total moment: 0.00 μB/f.u.
- DOS(E_F): 5.27 states/eV per cell
- Symmetry: I4/mmm, No. 139

---

Verdict on stability: model w comes out at the bottom.

---

Model w:
Here is an optimized crystal structure of YAgAu from Alexandria via LeMat-Bulk. Energies are from PBE.

```
3
Lattice="4.731 0.000 0.000 -2.365 4.097 0.000 0.000 0.000 3.440" Properties=species:S:1:pos:R:3 pbc="T T T"
Y 0.000 0.000 0.000
Ag 0.000 2.731 1.720
Au 2.365 1.366 1.720
```

Properties
- Size of the total moment: 0.00 μB/f.u.
- DOS(E_F): 1.93 states/eV per cell
- Symmetry: P-6m2, No. 187

---

Model x:
Here is an optimized crystal structure of YAgAu from Alexandria via LeMat-Bulk. Energies are from PBE.

```
6
Lattice="5.288 0.000 0.000 0.000 5.316 0.000 -2.641 0.000 4.590" Properties=species:S:1:pos:R:3 pbc="T T T"
Y -0.001 1.329 2.218
Y 2.647 3.987 2.372
Ag 0.005 3.987 3.925
Ag 2.642 1.329 0.666
Au 0.005 3.987 0.860
Au 2.641 1.329 3.730
```

Properties
- Size of the total moment: 0.00 μB/f.u.
- DOS(E_F): 2.11 states/eV per cell
- Symmetry: P2_1/m, No. 11

---

Model y:
Here is an optimized crystal structure of YAgAu from Alexandria via LeMat-Bulk. Energies are from PBE.

```
3
Lattice="0.000 3.354 3.354 3.354 0.000 3.354 3.354 3.354 0.000" Properties=species:S:1:pos:R:3 pbc="T T T"
Y 0.000 0.000 0.000
Ag 3.354 3.354 3.354
Au 5.031 5.031 5.031
```

Properties
- Size of the total moment: 0.00 μB/f.u.
- DOS(E_F): 1.48 states/eV per cell
- Symmetry: F-43m, No. 216

---

Verdict on stability: model y comes out at the bottom.

---

Model w:
Here is an optimized crystal structure of Y3AgAu from Alexandria via LeMat-Bulk. Energies are from PBE.

```
10
Lattice="2.549 -9.883 0.000 2.549 9.883 0.000 0.000 0.000 5.098" Properties=species:S:1:pos:R:3 pbc="T T T"
Y 2.549 8.596 3.824
Y 2.549 4.946 3.824
Y 2.549 1.305 3.824
Y 2.549 -1.305 1.275
Y 2.549 -4.946 1.275
Y 2.549 -8.596 1.275
Ag 2.549 6.777 1.275
Ag 2.549 -6.777 3.824
Au 2.549 3.154 1.275
Au 2.549 -3.154 3.824
```

Properties
- Size of the total moment: 0.50 μB/f.u.
- DOS(E_F): 7.09 states/eV per cell
- Symmetry: Cmcm, No. 63

---

Model x:
Here is an optimized crystal structure of Y3AgAu from Alexandria via LeMat-Bulk. Energies are from PBE.

```
5
Lattice="5.517 0.000 0.000 0.000 5.517 0.000 0.000 0.000 5.517" Properties=species:S:1:pos:R:3 pbc="T T T"
Y 0.000 0.000 2.758
Y 0.000 2.758 0.000
Y 2.758 0.000 0.000
Ag 2.758 2.758 2.758
Au 0.000 0.000 0.000
```

Properties
- Size of the total moment: 0.00 μB/f.u.
- DOS(E_F): 8.28 states/eV per cell
- Symmetry: Pm-3m, No. 221

---

Verdict on stability: model x comes out at the bottom.

---

Model w:
Here is an optimized crystal structure of Y2AgAu3 from Alexandria via LeMat-Bulk. Energies are from PBE.

```
12
Lattice="4.998 0.000 0.000 -2.499 4.329 0.000 0.000 0.000 12.057" Properties=species:S:1:pos:R:3 pbc="T T T"
Y 0.000 0.000 0.000
Y 0.000 0.000 6.029
Y 0.000 2.886 2.278
Y 2.499 1.443 9.780
Ag 0.000 2.886 8.143
Ag 2.499 1.443 3.915
Au 0.000 0.000 2.972
Au 0.000 0.000 9.086
Au 0.000 2.886 5.232
Au 0.000 2.886 11.217
Au 2.499 1.443 0.840
Au 2.499 1.443 6.825
```

Properties
- Size of the total moment: 0.00 μB/f.u.
- DOS(E_F): 8.12 states/eV per cell
- Symmetry: P-3m1, No. 164

---

Model x:
Here is an optimized crystal structure of Y2AgAu3 from Alexandria via LeMat-Bulk. Energies are from PBE.

```
12
Lattice="0.000 4.776 8.119 3.417 0.000 8.119 3.417 4.776 0.000" Properties=species:S:1:pos:R:3 pbc="T T T"
Y 5.129 4.776 8.119
Y 1.709 2.388 4.060
Y 5.126 7.165 12.179
Y 1.705 4.776 8.119
Ag 3.417 4.776 5.411
Ag 3.417 4.776 10.828
Au 3.417 4.776 2.700
Au 3.417 2.413 6.745
Au 3.417 2.413 9.493
Au 3.417 7.140 6.745
Au 3.417 7.140 9.493
Au 3.417 4.776 13.538
```

Properties
- Size of the total moment: 0.00 μB/f.u.
- DOS(E_F): 9.36 states/eV per cell
- Symmetry: Fmmm, No. 69

---

Verdict on stability: model x comes out at the bottom.

---

Model w:
Here is an optimized crystal structure of YAg2Au2 from Alexandria via LeMat-Bulk. Energies are from PBE.

```
10
Lattice="7.658 0.000 0.000 0.000 7.658 0.000 0.000 0.000 3.493" Properties=species:S:1:pos:R:3 pbc="T T T"
Y 0.000 0.000 0.000
Y 3.829 3.829 0.000
Ag 0.959 2.870 0.000
Ag 2.870 6.699 0.000
Ag 4.789 0.959 0.000
Ag 6.699 4.789 0.000
Au 1.336 5.165 1.747
Au 2.493 1.336 1.747
Au 5.165 6.322 1.747
Au 6.322 2.493 1.747
```

Properties
- Size of the total moment: 0.00 μB/f.u.
- DOS(E_F): 5.52 states/eV per cell
- Symmetry: P4/mbm, No. 127

---

Model x:
Here is an optimized crystal structure of YAg2Au2 from Alexandria via LeMat-Bulk. Energies are from PBE.

```
5
Lattice="-1.967 1.967 6.894 1.967 -1.967 6.894 1.967 1.967 -6.894" Properties=species:S:1:pos:R:3 pbc="T T T"
Y 0.000 0.000 0.000
Ag 1.967 0.000 3.447
Ag 0.000 1.967 3.447
Au 0.000 0.000 5.518
Au 0.000 0.000 8.270
```

Properties
- Size of the total moment: 0.00 μB/f.u.
- DOS(E_F): 1.73 states/eV per cell
- Symmetry: I4/mmm, No. 139

---

Model y:
Here is an optimized crystal structure of YAg2Au2 from Alexandria via LeMat-Bulk. Energies are from PBE.

```
5
Lattice="2.585 -3.762 0.000 2.585 3.762 0.000 -0.031 0.000 5.607" Properties=species:S:1:pos:R:3 pbc="T T T"
Y 0.000 0.000 0.000
Ag 2.569 2.422 2.804
Ag 2.569 -2.422 2.804
Au 2.554 0.000 4.215
Au 2.584 0.000 1.392
```

Properties
- Size of the total moment: 0.00 μB/f.u.
- DOS(E_F): 2.79 states/eV per cell
- Symmetry: C2/m, No. 12

---

Model z:
Here is an optimized crystal structure of YAg2Au2 from Alexandria via LeMat-Bulk. Energies are from PBE.

```
5
Lattice="-2.010 2.010 6.605 2.010 -2.010 6.605 2.010 2.010 -6.605" Properties=species:S:1:pos:R:3 pbc="T T T"
Y 0.000 0.000 0.000
Ag 0.000 0.000 5.270
Ag 0.000 0.000 7.939
Au 2.010 0.000 3.302
Au 0.000 2.010 3.302
```

Properties
- Size of the total moment: 0.00 μB/f.u.
- DOS(E_F): 2.27 states/eV per cell
- Symmetry: I4/mmm, No. 139

---

Verdict on stability: model z comes out at the bottom.

---

Model w:
Here is an optimized crystal structure of ZnAgAu from Alexandria via LeMat-Bulk. Energies are from PBE.

```
6
Lattice="4.309 -2.110 0.000 4.309 2.110 0.000 -1.308 0.000 5.550" Properties=species:S:1:pos:R:3 pbc="T T T"
Zn 0.000 0.000 0.000
Zn 5.296 0.000 1.952
Ag -0.642 0.000 2.765
Ag 1.987 0.000 3.761
Au 2.651 0.000 1.010
Au 4.626 0.000 4.762
```

Properties
- Size of the total moment: 0.00 μB/f.u.
- DOS(E_F): 1.34 states/eV per cell
- Symmetry: Cm, No. 8

---

Model x:
Here is an optimized crystal structure of ZnAgAu from Alexandria via LeMat-Bulk. Energies are from PBE.

```
3
Lattice="0.000 3.063 3.063 3.063 0.000 3.063 3.063 3.063 0.000" Properties=species:S:1:pos:R:3 pbc="T T T"
Zn 0.000 0.000 0.000
Ag 4.594 4.594 4.594
Au 1.531 1.531 1.531
```

Properties
- Size of the total moment: 0.00 μB/f.u.
- DOS(E_F): 0.93 states/eV per cell
- Symmetry: F-43m, No. 216

---

Verdict on stability: model x comes out at the bottom.